Record 1
Entry from Alexandria: crystalline SmTmN at its relaxed geometry (PBE-GGA).

Cell lengths 3.498, 3.498, 6.099 Å; angles 90.00, 90.00, 120.00 degrees
Fractional coordinates of all 3 atoms:
Sm1 0.000 0.000 0.000
Tm1 0.333 0.667 0.443
N1 0.667 0.333 0.250

Formation energy (no corrections) in meV per atom: -1003
Energy relative to the lowest polymorph listed for this composition in eV per atom: 0.038
Magnetic moment in μB per atom: 0.2252

***

Record 2
Entry from Alexandria: crystalline SmTmN2 at its relaxed geometry (PBE-GGA).

Cell lengths 3.435, 3.435, 6.048 Å; angles 90.00, 90.00, 120.00 degrees
Fractional coordinates of all 4 atoms:
Sm1 0.000 0.000 0.000
Tm1 0.000 0.000 0.500
N1 0.333 0.667 0.739
N2 0.667 0.333 0.261

Formation energy (no corrections) in meV per atom: -1281
Magnetic moment in μB per atom: 0.0000

***

Record 3
Entry from Alexandria: crystalline Sm3TmN4 at its relaxed geometry (PBE-GGA).

Cell lengths 5.016, 5.016, 5.016 Å; angles 90.00, 90.00, 90.00 degrees
Fractional coordinates of all 8 atoms:
Sm1 0.000 0.000 0.500
Sm2 0.000 0.500 0.000
Sm3 0.500 0.000 0.000
Tm1 0.500 0.500 0.500
N1 0.000 0.000 0.000
N2 0.000 0.500 0.500
N3 0.500 0.000 0.500
N4 0.500 0.500 0.000

Formation energy (no corrections) in meV per atom: -1536
Energy relative to the lowest polymorph listed for this composition in eV per atom: 0.012
Magnetic moment in μB per atom: 0.0000

***

Record 4
Entry from Alexandria: crystalline SmTm2UN4 at its relaxed geometry (PBE-GGA).

Cell lengths 5.961, 3.450, 5.992 Å; angles 90.00, 109.02, 90.00 degrees
Fractional coordinates of all 8 atoms:
Sm1 0.000 0.000 0.000
Tm1 0.500 0.000 0.500
Tm2 0.500 0.500 0.000
U1 0.000 0.500 0.500
N1 0.249 0.500 0.272
N2 0.251 0.000 0.740
N3 0.749 0.000 0.260
N4 0.751 0.500 0.728

Formation energy (no corrections) in meV per atom: -1601
Magnetic moment in μB per atom: 0.1945

***

Record 5
Entry from Alexandria: crystalline Sm3Tm2UN6 at its relaxed geometry (PBE-GGA).

Cell lengths 6.014, 6.014, 6.080 Å; angles 99.48, 99.48, 119.96 degrees
Fractional coordinates of all 12 atoms:
Sm1 0.000 0.000 0.000
Sm2 0.332 0.668 0.000
Sm3 0.668 0.332 0.000
Tm1 0.166 0.834 0.500
Tm2 0.834 0.166 0.500
U1 0.500 0.500 0.500
N1 0.108 0.425 0.275
N2 0.258 0.258 0.725
N3 0.425 0.108 0.275
N4 0.575 0.892 0.725
N5 0.742 0.742 0.275
N6 0.892 0.575 0.725

Formation energy (no corrections) in meV per atom: -1616
Magnetic moment in μB per atom: 0.0452

***

Record 6
Entry from Alexandria: crystalline SmTmVN3 at its relaxed geometry (PBE-GGA).

Cell lengths 7.205, 3.428, 7.517 Å; angles 90.00, 99.09, 90.00 degrees
Fractional coordinates of all 12 atoms:
Sm1 0.176 0.250 0.175
Sm2 0.824 0.750 0.825
Tm1 0.366 0.750 0.838
Tm2 0.634 0.250 0.162
V1 0.090 0.250 0.599
V2 0.910 0.750 0.401
N1 0.113 0.250 0.848
N2 0.174 0.750 0.522
N3 0.406 0.750 0.144
N4 0.594 0.250 0.856
N5 0.826 0.250 0.478
N6 0.887 0.750 0.152

Formation energy (no corrections) in meV per atom: -1271
Magnetic moment in μB per atom: 0.0000

***

Record 7
Entry from Alexandria: crystalline SmTmW2N6 at its relaxed geometry (PBE-GGA).

Cell lengths 7.468, 7.468, 6.391 Å; angles 107.67, 107.67, 80.83 degrees
Fractional coordinates of all 20 atoms:
Sm1 0.095 0.905 0.750
Sm2 0.905 0.095 0.250
Tm1 0.284 0.716 0.250
Tm2 0.716 0.284 0.750
W1 0.204 0.378 0.793
W2 0.378 0.204 0.293
W3 0.622 0.796 0.707
W4 0.796 0.622 0.207
N1 0.001 0.225 0.665
N2 0.123 0.624 0.851
N3 0.225 0.001 0.165
N4 0.332 0.372 0.096
N5 0.372 0.332 0.596
N6 0.376 0.877 0.649
N7 0.624 0.123 0.351
N8 0.628 0.668 0.404
N9 0.668 0.628 0.904
N10 0.775 0.999 0.835
N11 0.877 0.376 0.149
N12 0.999 0.775 0.335

Formation energy (no corrections) in meV per atom: -977
Magnetic moment in μB per atom: 0.0000

***

Record 8
Entry from Alexandria: crystalline SmTmZrN3 at its relaxed geometry (PBE-GGA).

Cell lengths 5.784, 3.393, 8.874 Å; angles 90.00, 101.60, 90.00 degrees
Fractional coordinates of all 12 atoms:
Sm1 0.158 0.250 0.199
Sm2 0.842 0.750 0.801
Tm1 0.354 0.250 0.859
Tm2 0.646 0.750 0.141
Zr1 0.265 0.750 0.542
Zr2 0.735 0.250 0.458
N1 0.049 0.250 0.650
N2 0.253 0.750 0.000
N3 0.464 0.750 0.354
N4 0.536 0.250 0.646
N5 0.747 0.250 0.000
N6 0.951 0.750 0.350

Formation energy (no corrections) in meV per atom: -1495
Magnetic moment in μB per atom: 0.0000

***

Repeat the first record exactly.
Entry from Alexandria: crystalline SmTmN at its relaxed geometry (PBE-GGA).

Cell lengths 3.498, 3.498, 6.099 Å; angles 90.00, 90.00, 120.00 degrees
Fractional coordinates of all 3 atoms:
Sm1 0.000 0.000 0.000
Tm1 0.333 0.667 0.443
N1 0.667 0.333 0.250

Formation energy (no corrections) in meV per atom: -1003
Energy relative to the lowest polymorph listed for this composition in eV per atom: 0.038
Magnetic moment in μB per atom: 0.2252